(1)
Density functional theory data (PBE) for a relaxed structure of SbSe3.

abc: 5.6281 5.6281 5.6281
angles: 137.56 98.73 96.33
Fractional positions:
Sb (0.9737, 0.0000, 0.9737)
Se (0.4328, 0.5000, 0.9328)
Se (0.9664, 0.2529, 0.7134)
Se (0.4605, 0.7471, 0.7134)

Output
relative energy among the computed polymorphs	68	meV/atom
volume	112.1	Å³/cell
magnetization	0.0	μB/f.u.
crystal system	orthorhombic
formation energy without anion corrections	0.09	eV per atom

(2)
Density functional theory data (PBE) for a relaxed structure of SbSe3.

abc: 4.9514 4.9514 3.6166
angles: 90.00 90.00 90.00
Fractional positions:
Sb (0.0000, 0.0000, 0.0000)
Se (0.5000, 0.0000, 0.5000)
Se (0.5000, 0.5000, 0.0000)
Se (0.0000, 0.5000, 0.5000)

Output
relative energy among the computed polymorphs	333	meV/atom
volume	88.7	Å³/cell
magnetization	0.0	μB/f.u.
crystal system	tetragonal
formation energy without anion corrections	0.35	eV per atom

(3)
Density functional theory data (PBE) for a relaxed structure of SbSe2.

abc: 5.8140 5.8140 5.8140
angles: 112.84 112.84 102.92
Fractional positions:
Sb (0.7500, 0.7500, 0.0000)
Sb (0.2500, 0.2500, 0.0000)
Se (0.3544, 0.1456, 0.5000)
Se (0.6456, 0.8544, 0.5000)
Se (0.1456, 0.6456, 0.7913)
Se (0.8544, 0.3544, 0.2087)

Output
volume	149.8	Å³/cell
magnetization	0.0	μB/f.u.
crystal system	tetragonal
formation energy without anion corrections	0.06	eV per atom

(4)
Density functional theory data (PBE) for a relaxed structure of Sb2Se.

abc: 4.3296 6.1665 8.3241
angles: 71.50 89.99 69.92
Fractional positions:
Sb (0.7354, 0.8516, 0.9392)
Sb (0.0708, 0.1912, 0.2049)
Sb (0.5372, 0.8832, 0.5224)
Sb (0.9022, 0.1590, 0.6215)
Se (0.4030, 0.2971, 0.9380)
Se (0.1717, 0.7455, 0.2058)

Output
volume	196.5	Å³/cell
magnetization	0.0	μB/f.u.
crystal system	triclinic
formation energy without anion corrections	-0.03	eV per atom

(5)
Density functional theory data (PBE) for a relaxed structure of Sb2Se.

abc: 5.3235 5.3235 6.1731
angles: 90.00 90.00 120.00
Fractional positions:
Sb (0.0000, 0.0000, 0.0000)
Sb (0.0000, 0.0000, 0.5000)
Sb (0.3333, 0.6667, 0.2500)
Sb (0.6667, 0.3333, 0.7500)
Se (0.6667, 0.3333, 0.2500)
Se (0.3333, 0.6667, 0.7500)

Output
volume	151.5	Å³/cell
magnetization	0.0	μB/f.u.
crystal system	hexagonal
formation energy without anion corrections	0.23	eV per atom

(6)
Density functional theory data (PBE) for a relaxed structure of Sb3Se.

abc: 6.2103 6.2103 6.2103
angles: 146.77 127.82 63.28
Fractional positions:
Sb (0.0128, 0.0128, 0.0000)
Sb (0.7500, 0.2500, 0.5000)
Sb (0.4872, 0.4872, 0.0000)
Se (0.2500, 0.7500, 0.5000)

Output
relative energy among the computed polymorphs	228	meV/atom
volume	102.6	Å³/cell
magnetization	0.0	μB/f.u.
crystal system	orthorhombic
formation energy without anion corrections	0.22	eV per atom

(7)
Density functional theory data (PBE) for a relaxed structure of Sb2Se3.

abc: 9.0286 7.5833 7.3230
angles: 74.53 54.05 51.42
Fractional positions:
Sb (0.3414, 0.7672, 0.3987)
Sb (0.4927, 0.3987, 0.7672)
Sb (0.4828, 0.9086, 0.7573)
Sb (0.8513, 0.7573, 0.9086)
Se (0.7198, 0.5642, 0.3877)
Se (0.3283, 0.3877, 0.5642)
Se (0.6858, 0.5302, 0.9217)
Se (0.8623, 0.9217, 0.5302)
Se (0.1178, 0.8822, 0.8822)
Se (0.3678, 0.1322, 0.1322)

Output
volume	313.3	Å³/cell
magnetization	0.0	μB/f.u.
crystal system	orthorhombic
formation energy without anion corrections	-0.20	eV per atom

(8)
Density functional theory data (PBE) for a relaxed structure of Sb3Se.

abc: 8.1992 7.3574 7.7304
angles: 90.00 90.00 90.00
Fractional positions:
Sb (0.1191, 0.9329, 0.7500)
Sb (0.6191, 0.5671, 0.2500)
Sb (0.3809, 0.4329, 0.7500)
Sb (0.8809, 0.0671, 0.2500)
Sb (0.6230, 0.2392, 0.0090)
Sb (0.1230, 0.2608, 0.9910)
Sb (0.8770, 0.7392, 0.4910)
Sb (0.3770, 0.7608, 0.5090)
Sb (0.3770, 0.7608, 0.9910)
Sb (0.8770, 0.7392, 0.0090)
Sb (0.1230, 0.2608, 0.5090)
Sb (0.6230, 0.2392, 0.4910)
Se (0.6146, 0.8996, 0.7500)
Se (0.1146, 0.6004, 0.2500)
Se (0.8854, 0.3996, 0.7500)
Se (0.3854, 0.1004, 0.2500)

Output
relative energy among the computed polymorphs	75	meV/atom
volume	466.3	Å³/cell
magnetization	0.0	μB/f.u.
crystal system	orthorhombic
formation energy without anion corrections	0.06	eV per atom